First-principles (PBE) data for Zr3AuN after structural relaxation, as listed in the Alexandria database. Values from VASP.

Uncorrected formation energy: -865 meV/atom
Magnetic moment: 0.2 μB per formula unit
Symmetry: Pmmm, No. 47
Uncorrected energy: -83.1 eV/cell

Geometry as Quantum ESPRESSO input:
```
&SYSTEM
  ibrav = 0, nat = 10, ntyp = 3
/
ATOMIC_SPECIES
Au 196.97 Au.upf
Zr 91.22 Zr.upf
N 14.01 N.upf
CELL_PARAMETERS angstrom
4.396 0.000 0.000
-0.001 12.350 0.000
0.000 0.000 3.301
ATOMIC_POSITIONS crystal
Au 0.178 0.655 0.465
Au 0.178 0.896 0.465
Zr 0.178 0.407 0.467
Zr 0.678 0.275 0.967
Zr 0.678 0.014 0.967
Zr 0.678 0.537 0.967
Zr 0.178 0.143 0.467
Zr 0.678 0.775 0.965
N 0.678 0.412 0.467
N 0.678 0.138 0.467
```